[1]
# NpSc2Ga9 | Alexandria via LeMat-Bulk | PBE-GGA | optimized geometry
data_NpSc2Ga9
_cell_length_a 4.1584
_cell_length_b 4.1584
_cell_length_c 12.5287
_cell_angle_alpha 90.00
_cell_angle_beta 90.00
_cell_angle_gamma 90.00
_symmetry_space_group_name_H-M 'P 4/m m m'
_symmetry_Int_Tables_number 123
_symmetry_space_group_name_Hall '-P 4 2'
loop_
_atom_site_label
_atom_site_type_symbol
_atom_site_fract_x
_atom_site_fract_y
_atom_site_fract_z
Np1 Np 0.0000 0.0000 0.0000
Sc1 Sc 0.0000 0.0000 0.3382
Ga1 Ga 0.0000 0.5000 0.1726
Ga2 Ga 0.0000 0.5000 0.5000
Ga3 Ga 0.5000 0.5000 0.0000
Ga4 Ga 0.5000 0.5000 0.3342
# ρ: 7.315 Mg/m³
# Final energy: -0.17683 hartree per atom

***

[2]
# NpSc2Ga6 | Alexandria via LeMat-Bulk | PBE-GGA | optimized geometry
data_NpSc2Ga6
_cell_length_a 7.7143
_cell_length_b 7.7143
_cell_length_c 3.2501
_cell_angle_alpha 90.00
_cell_angle_beta 90.00
_cell_angle_gamma 120.00
_symmetry_space_group_name_H-M 'P 6/m m m'
_symmetry_Int_Tables_number 191
_symmetry_space_group_name_Hall '-P 6 2'
loop_
_atom_site_label
_atom_site_type_symbol
_atom_site_fract_x
_atom_site_fract_y
_atom_site_fract_z
Np1 Np 0.0000 0.0000 0.0000
Sc1 Sc 0.3333 0.6667 0.0000
Ga1 Ga 0.0000 0.3381 0.5000
# ρ: 7.388 Mg/m³
# Final energy: -0.19367 hartree per atom

***

[3]
# Np4ScGa15 | Alexandria via LeMat-Bulk | PBE-GGA | optimized geometry
data_Np4ScGa15
_cell_length_a 4.2316
_cell_length_b 4.2316
_cell_length_c 21.2448
_cell_angle_alpha 90.00
_cell_angle_beta 90.00
_cell_angle_gamma 90.00
_symmetry_space_group_name_H-M 'P 4/m m m'
_symmetry_Int_Tables_number 123
_symmetry_space_group_name_Hall '-P 4 2'
loop_
_atom_site_label
_atom_site_type_symbol
_atom_site_fract_x
_atom_site_fract_y
_atom_site_fract_z
Np1 Np 0.0000 0.0000 0.1012
Np2 Np 0.0000 0.0000 0.3046
Sc1 Sc 0.0000 0.0000 0.5000
Ga1 Ga 0.0000 0.5000 0.0000
Ga2 Ga 0.0000 0.5000 0.2023
Ga3 Ga 0.0000 0.5000 0.4044
Ga4 Ga 0.5000 0.5000 0.1013
Ga5 Ga 0.5000 0.5000 0.3012
Ga6 Ga 0.5000 0.5000 0.5000
# ρ: 8.899 Mg/m³
# Final energy: -0.19988 hartree per atom

***

[4]
# Np3ScGa12 | Alexandria via LeMat-Bulk | PBE-GGA | optimized geometry
data_Np3ScGa12
_cell_length_a 4.2206
_cell_length_b 4.2206
_cell_length_c 16.9779
_cell_angle_alpha 90.00
_cell_angle_beta 90.00
_cell_angle_gamma 90.00
_symmetry_space_group_name_H-M 'P 4/m m m'
_symmetry_Int_Tables_number 123
_symmetry_space_group_name_Hall '-P 4 2'
loop_
_atom_site_label
_atom_site_type_symbol
_atom_site_fract_x
_atom_site_fract_y
_atom_site_fract_z
Np1 Np 0.0000 0.0000 0.0000
Np2 Np 0.0000 0.0000 0.2553
Sc1 Sc 0.0000 0.0000 0.5000
Ga1 Ga 0.0000 0.5000 0.1270
Ga2 Ga 0.0000 0.5000 0.3803
Ga3 Ga 0.5000 0.5000 0.0000
Ga4 Ga 0.5000 0.5000 0.2509
Ga5 Ga 0.5000 0.5000 0.5000
# ρ: 8.744 Mg/m³
# Final energy: -0.19736 hartree per atom

***

[5]
# NpScGa | Alexandria via LeMat-Bulk | PBE-GGA | optimized geometry
data_NpScGa
_cell_length_a 3.8449
_cell_length_b 3.8449
_cell_length_c 16.5189
_cell_angle_alpha 90.00
_cell_angle_beta 90.00
_cell_angle_gamma 90.00
_symmetry_space_group_name_H-M 'I 4/m m m'
_symmetry_Int_Tables_number 139
_symmetry_space_group_name_Hall '-I 4 2'
loop_
_atom_site_label
_atom_site_type_symbol
_atom_site_fract_x
_atom_site_fract_y
_atom_site_fract_z
Np1 Np 0.0000 0.5000 0.0000
Sc1 Sc 0.0000 0.0000 0.1832
Ga1 Ga 0.0000 0.0000 0.3582
# ρ: 9.565 Mg/m³
# Final energy: -0.27945 hartree per atom

***

[6]
# NpGa2Se4 | Alexandria via LeMat-Bulk | PBE-GGA | optimized geometry
data_NpGa2Se4
_cell_length_a 5.6306
_cell_length_b 5.6306
_cell_length_c 6.7336
_cell_angle_alpha 90.00
_cell_angle_beta 90.00
_cell_angle_gamma 90.00
_symmetry_space_group_name_H-M 'P -4 2 m'
_symmetry_Int_Tables_number 111
_symmetry_space_group_name_Hall 'P -4 2'
loop_
_atom_site_label
_atom_site_type_symbol
_atom_site_fract_x
_atom_site_fract_y
_atom_site_fract_z
Np1 Np 0.0000 0.0000 0.0000
Ga1 Ga 0.0000 0.5000 0.5000
Se1 Se 0.2699 0.2699 0.2759
# ρ: 5.385 Mg/m³
# E_form (uncorrected): -3.589 eV/f.u.

***

[7]
# NpGaSe2 | Alexandria via LeMat-Bulk | PBE-GGA | optimized geometry
data_NpGaSe2
_cell_length_a 4.1591
_cell_length_b 4.1591
_cell_length_c 22.2111
_cell_angle_alpha 90.00
_cell_angle_beta 90.00
_cell_angle_gamma 120.00
_symmetry_space_group_name_H-M 'R 3 m'
_symmetry_Int_Tables_number 160
_symmetry_space_group_name_Hall 'R 3 -2"'
loop_
_atom_site_label
_atom_site_type_symbol
_atom_site_fract_x
_atom_site_fract_y
_atom_site_fract_z
Np1 Np 0.0000 0.0000 0.0000
Ga1 Ga 0.0000 0.0000 0.8269
Se1 Se 0.0000 0.0000 0.4077
Se2 Se 0.0000 0.0000 0.5957
# ρ: 6.957 Mg/m³
# E_form (uncorrected): -2.987 eV/f.u.

***

[8]
# NpGaSe | Alexandria via LeMat-Bulk | PBE-GGA | optimized geometry
data_NpGaSe
_cell_length_a 3.6401
_cell_length_b 17.3123
_cell_length_c 4.1923
_cell_angle_alpha 90.00
_cell_angle_beta 90.00
_cell_angle_gamma 90.00
_symmetry_space_group_name_H-M 'C m c m'
_symmetry_Int_Tables_number 63
_symmetry_space_group_name_Hall '-C 2c 2'
loop_
_atom_site_label
_atom_site_type_symbol
_atom_site_fract_x
_atom_site_fract_y
_atom_site_fract_z
Np1 Np 0.0000 0.1278 0.2500
Ga1 Ga 0.0000 0.4661 0.2500
Se1 Se 0.0000 0.3096 0.2500
# ρ: 9.697 Mg/m³
# E_form (uncorrected): -1.554 eV/f.u.